1.
Material: K6Rb12H
Method: DFT, PBE-GGA
State: relaxed

Lattice parameters (Å, degrees): 11.5118 11.5118 11.5118 88.50 88.50 88.50
Fractional positions:
K (0.5995, 0.7587, 0.2354)
K (0.7646, 0.4005, 0.2413)
K (0.2413, 0.7646, 0.4005)
K (0.4005, 0.2413, 0.7646)
K (0.2354, 0.5995, 0.7587)
K (0.7587, 0.2354, 0.5995)
Rb (0.8707, 0.6625, 0.5280)
Rb (0.5280, 0.8707, 0.6625)
Rb (0.6625, 0.5280, 0.8707)
Rb (0.1293, 0.3375, 0.4720)
Rb (0.4720, 0.1293, 0.3375)
Rb (0.3375, 0.4720, 0.1293)
Rb (0.9524, 0.0291, 0.2734)
Rb (0.9709, 0.7266, 0.0476)
Rb (0.7266, 0.0476, 0.9709)
Rb (0.0476, 0.9709, 0.7266)
Rb (0.0291, 0.2734, 0.9524)
Rb (0.2734, 0.9524, 0.0291)
H (0.0000, 0.0000, 0.0000)

raw total energy	-1.1016	eV per atom
Fermi-level density of states	0.769	states/eV per atom
symmetry	No. 148

***

2.
Material: K12Rb3H5
Method: DFT, PBE-GGA
State: relaxed

Lattice parameters (Å, degrees): 17.5294 17.5294 17.5294 109.47 109.47 109.47
Fractional positions:
Rb (0.7500, 0.3750, 0.1250)
Rb (0.8750, 0.7500, 0.1250)
Rb (0.3750, 0.7500, 0.6250)
Rb (0.2500, 0.1250, 0.3750)
Rb (0.8750, 0.1250, 0.2500)
Rb (0.3750, 0.6250, 0.2500)
Rb (0.6250, 0.3750, 0.7500)
Rb (0.1250, 0.8750, 0.7500)
Rb (0.7500, 0.8750, 0.6250)
Rb (0.6250, 0.2500, 0.3750)
Rb (0.1250, 0.2500, 0.8750)
Rb (0.2500, 0.6250, 0.8750)
H (0.1250, 0.3750, 0.2500)
H (0.0000, 0.5000, 0.0000)
H (0.0000, 0.0000, 0.0000)
H (0.3750, 0.2500, 0.1250)
H (0.5000, 0.0000, 0.5000)
H (0.5000, 0.5000, 0.0000)
H (0.1250, 0.7500, 0.3750)
H (0.7500, 0.1250, 0.8750)
H (0.7500, 0.6250, 0.3750)
H (0.3750, 0.1250, 0.7500)
H (0.6250, 0.8750, 0.2500)
H (0.5000, 0.5000, 0.5000)
H (0.5000, 0.0000, 0.0000)
H (0.0000, 0.0000, 0.5000)
H (0.2500, 0.3750, 0.6250)
H (0.2500, 0.8750, 0.1250)
H (0.0000, 0.5000, 0.5000)
H (0.8750, 0.2500, 0.6250)
H (0.6250, 0.7500, 0.8750)
H (0.8750, 0.6250, 0.7500)
K (0.6763, 0.0901, 0.9777)
K (0.3014, 0.4777, 0.3876)
K (0.0223, 0.4099, 0.3237)
K (0.4777, 0.1763, 0.0901)
K (0.5862, 0.6763, 0.6986)
K (0.0223, 0.6124, 0.1986)
K (0.3014, 0.8237, 0.4138)
K (0.1124, 0.9138, 0.0901)
K (0.6124, 0.0223, 0.6986)
K (0.6763, 0.5862, 0.1986)
K (0.8237, 0.5223, 0.4099)
K (0.8014, 0.8876, 0.9777)
K (0.0901, 0.6763, 0.4777)
K (0.4099, 0.3876, 0.0862)
K (0.0862, 0.8876, 0.4099)
K (0.4138, 0.0901, 0.6124)
K (0.0862, 0.1986, 0.1763)
K (0.5223, 0.6986, 0.1124)
K (0.8014, 0.9138, 0.3237)
K (0.0901, 0.4138, 0.1124)
K (0.4099, 0.0223, 0.8237)
K (0.6124, 0.5901, 0.4138)
K (0.8876, 0.8014, 0.4777)
K (0.8237, 0.3014, 0.9138)
K (0.3876, 0.4099, 0.5862)
K (0.1124, 0.1986, 0.5223)
K (0.1763, 0.6986, 0.0862)
K (0.1986, 0.0862, 0.6763)
K (0.5901, 0.9777, 0.1763)
K (0.9099, 0.5862, 0.8876)
K (0.4777, 0.3014, 0.8876)
K (0.5862, 0.9099, 0.3876)
K (0.9138, 0.8014, 0.8237)
K (0.9138, 0.1124, 0.5901)
K (0.9099, 0.3237, 0.5223)
K (0.1986, 0.1124, 0.0223)
K (0.5901, 0.6124, 0.9138)
K (0.3876, 0.9777, 0.3014)
K (0.3237, 0.4138, 0.8014)
K (0.1763, 0.4777, 0.5901)
K (0.8876, 0.0862, 0.9099)
K (0.6986, 0.1763, 0.5862)
K (0.5223, 0.8237, 0.9099)
K (0.9777, 0.3876, 0.8014)
K (0.4138, 0.3237, 0.3014)
K (0.9777, 0.5901, 0.6763)
K (0.6986, 0.5223, 0.6124)
K (0.3237, 0.9099, 0.0223)

raw total energy	-1.5733	eV per atom
Fermi-level density of states	0.577	states/eV per atom
symmetry	No. 230

***

3.
Material: KRbH
Method: DFT, PBE-GGA
State: relaxed

Lattice parameters (Å, degrees): 4.2803 4.2803 7.5958 90.00 90.00 120.00
Fractional positions:
H (0.6667, 0.3333, 0.3261)
K (0.0000, 0.0000, 0.1139)
Rb (0.3333, 0.6667, 0.5601)

Fermi-level density of states	0.310	states/eV per atom
distance to the lowest polymorph of the same formula	26	meV per atom
symmetry	No. 156

***

4.
Material: KRbH
Method: DFT, PBE-GGA
State: relaxed

Lattice parameters (Å, degrees): 5.3176 5.3176 5.3176 60.00 60.00 60.00
Fractional positions:
H (0.2500, 0.2500, 0.2500)
K (0.5000, 0.5000, 0.5000)
Rb (0.0000, 0.0000, 0.0000)

Fermi-level density of states	0.242	states/eV per atom
distance to the lowest polymorph of the same formula	229	meV per atom
symmetry	No. 216

***

5.
Material: K9Rb6H
Method: DFT, PBE-GGA
State: relaxed

Lattice parameters (Å, degrees): 10.5338 10.5338 12.6149 114.68 114.68 90.00
Fractional positions:
K (0.9655, 0.7571, 0.3419)
K (0.3764, 0.5849, 0.3419)
K (0.7571, 0.3764, 0.3419)
K (0.5849, 0.9655, 0.3419)
K (0.0345, 0.2429, 0.6581)
K (0.6236, 0.4151, 0.6581)
K (0.2429, 0.6236, 0.6581)
K (0.4151, 0.0345, 0.6581)
K (0.5000, 0.5000, 0.0000)
Rb (0.7140, 0.9034, 0.0000)
Rb (0.2860, 0.0966, 0.0000)
Rb (0.9034, 0.2860, 0.0000)
Rb (0.0966, 0.7140, 0.0000)
Rb (0.8468, 0.8468, 0.6935)
Rb (0.1532, 0.1532, 0.3065)
H (0.0000, 0.0000, 0.0000)

raw total energy	-1.1890	eV per atom
Fermi-level density of states	0.579	states/eV per atom
symmetry	No. 87

***

6.
Material: K6RbH8
Method: DFT, PBE-GGA
State: relaxed

Lattice parameters (Å, degrees): 8.0005 8.0005 8.0005 60.00 60.00 60.00
Fractional positions:
K (0.0000, 0.5000, 0.5000)
K (0.5000, 0.0000, 0.0000)
K (0.5000, 0.5000, 0.0000)
K (0.0000, 0.0000, 0.5000)
K (0.0000, 0.5000, 0.0000)
K (0.5000, 0.0000, 0.5000)
Rb (0.0000, 0.0000, 0.0000)
H (0.7500, 0.7500, 0.7500)
H (0.2500, 0.2500, 0.2500)
H (0.7587, 0.2413, 0.2413)
H (0.2413, 0.7587, 0.7587)
H (0.2413, 0.2413, 0.7587)
H (0.7587, 0.7587, 0.2413)
H (0.7587, 0.2413, 0.7587)
H (0.2413, 0.7587, 0.2413)

raw total energy	-2.2998	eV per atom
Fermi-level density of states	0.635	states/eV per atom
symmetry	No. 225

***

7.
Material: KRbH
Method: DFT, PBE-GGA
State: relaxed

Lattice parameters (Å, degrees): 3.8078 3.8078 8.1252 103.55 103.55 90.00
Fractional positions:
H (0.9509, 0.9509, 0.9018)
K (0.3349, 0.3349, 0.6698)
Rb (0.5642, 0.5642, 0.1284)

Fermi-level density of states	0.243	states/eV per atom
distance to the lowest polymorph of the same formula	103	meV per atom
symmetry	No. 107

***

8.
Material: K4Rb2H
Method: DFT, PBE-GGA
State: relaxed

Lattice parameters (Å, degrees): 5.8824 5.8824 13.2543 102.82 102.82 90.00
Fractional positions:
H (0.0000, 0.0000, 0.0000)
K (0.8847, 0.8847, 0.7694)
K (0.1153, 0.1153, 0.2306)
K (0.0000, 0.5000, 0.0000)
K (0.5000, 0.0000, 0.0000)
Rb (0.6916, 0.6916, 0.3831)
Rb (0.3084, 0.3084, 0.6169)

raw total energy	-1.3639	eV per atom
Fermi-level density of states	0.766	states/eV per atom
symmetry	No. 139

***

9.
Material: K2Rb2H5
Method: DFT, PBE-GGA
State: relaxed

Lattice parameters (Å, degrees): 5.6445 7.4351 7.0946 48.90 66.56 67.69
Fractional positions:
K (0.1382, 0.5795, 0.1439)
K (0.8618, 0.4205, 0.8561)
Rb (0.3856, 0.8861, 0.3426)
Rb (0.6144, 0.1139, 0.6574)
H (0.3665, 0.4041, 0.8629)
H (0.6335, 0.5959, 0.1371)
H (0.1203, 0.1282, 0.6312)
H (0.8797, 0.8718, 0.3688)
H (0.0000, 0.0000, 0.0000)

raw total energy	-2.2677	eV per atom
symmetry	No. 12

***

10.
Material: KRbH4
Method: DFT, PBE-GGA
State: relaxed

Lattice parameters (Å, degrees): 10.2243 5.1129 8.0315 108.56 126.51 90.00
Fractional positions:
K (0.7319, 0.4090, 0.8180)
K (0.2681, 0.5910, 0.1820)
Rb (0.1642, 0.2625, 0.5250)
Rb (0.8358, 0.7375, 0.4750)
H (0.9827, 0.3641, 0.7282)
H (0.6529, 0.1194, 0.0886)
H (0.0000, 0.0741, 0.0000)
H (0.3471, 0.0308, 0.9114)
H (0.0173, 0.6359, 0.2718)
H (0.3471, 0.8806, 0.9114)
H (0.0000, 0.9259, 0.0000)
H (0.6529, 0.9692, 0.0886)

raw total energy	-2.5918	eV per atom
Fermi-level density of states	0.111	states/eV per atom
symmetry	No. 12

***

11.
Material: KRb2H3
Method: DFT, PBE-GGA
State: relaxed

Lattice parameters (Å, degrees): 4.1454 5.8853 7.2041 114.11 106.72 90.00
Fractional positions:
K (0.5000, 0.0000, 0.0000)
Rb (0.1660, 0.6660, 0.3320)
Rb (0.8340, 0.3340, 0.6680)
H (0.5000, 0.5000, 0.0000)
H (0.1580, 0.1580, 0.3161)
H (0.8420, 0.8420, 0.6839)

raw total energy	-2.3638	eV per atom
Fermi-level density of states	0.000	states/eV per atom
symmetry	No. 71

***

12.
Material: KRbH
Method: DFT, PBE-GGA
State: relaxed

Lattice parameters (Å, degrees): 8.0460 8.0482 11.6007 53.03 53.03 32.95
Fractional positions:
K (0.6992, 0.1992, 0.8768)
K (0.3008, 0.8008, 0.1232)
Rb (0.1043, 0.6041, 0.6308)
Rb (0.8957, 0.3959, 0.3692)
H (0.3054, 0.8053, 0.3389)
H (0.6946, 0.1947, 0.6611)

Fermi-level density of states	0.433	states/eV per atom
distance to the lowest polymorph of the same formula	54	meV per atom
symmetry	No. 12

***

13.
Material: K2RbH6Rh
Method: DFT, PBE-GGA
State: relaxed

Lattice parameters (Å, degrees): 6.0270 6.0270 6.0270 60.00 60.00 60.00
Fractional positions:
K (0.7500, 0.7500, 0.7500)
K (0.2500, 0.2500, 0.2500)
Rb (0.5000, 0.5000, 0.5000)
H (0.1960, 0.8040, 0.8040)
H (0.1960, 0.8040, 0.1960)
H (0.1960, 0.1960, 0.8040)
H (0.8040, 0.8040, 0.1960)
H (0.8040, 0.1960, 0.1960)
H (0.8040, 0.1960, 0.8040)
Rh (0.0000, 0.0000, 0.0000)

raw total energy	-3.3788	eV per atom
Fermi-level density of states	0.000	states/eV per atom
symmetry	No. 225

***

14.
Material: K2RbHS
Method: DFT, PBE-GGA
State: relaxed

Lattice parameters (Å, degrees): 5.1334 5.1334 5.3114 90.00 90.00 90.00
Fractional positions:
H (0.0000, 0.0000, 0.0000)
K (0.0000, 0.5000, 0.0000)
K (0.5000, 0.0000, 0.0000)
S (0.5000, 0.5000, 0.5000)
Rb (0.0000, 0.0000, 0.5000)

raw total energy	-2.7344	eV per atom
Fermi-level density of states	0.000	states/eV per atom
symmetry	No. 123

***

15.
Material: KRbScH2
Method: DFT, PBE-GGA
State: relaxed

Lattice parameters (Å, degrees): 5.2089 6.1816 5.2089 90.00 90.00 90.00
Fractional positions:
Sc (0.5000, 0.5000, 0.5000)
H (0.0000, 0.0000, 0.5000)
H (0.5000, 0.0000, 0.0000)
K (0.0000, 0.0000, 0.0000)
Rb (0.0000, 0.5000, 0.0000)

raw total energy	-2.0674	eV per atom
Fermi-level density of states	0.303	states/eV per atom
symmetry	No. 123

***

16.
Material: K2RbHSe
Method: DFT, PBE-GGA
State: relaxed

Lattice parameters (Å, degrees): 5.2337 5.2337 5.3942 90.00 90.00 90.00
Fractional positions:
H (0.0000, 0.0000, 0.0000)
K (0.0000, 0.5000, 0.0000)
K (0.5000, 0.0000, 0.0000)
Se (0.5000, 0.5000, 0.5000)
Rb (0.0000, 0.0000, 0.5000)

raw total energy	-2.6767	eV per atom
Fermi-level density of states	0.000	states/eV per atom
symmetry	No. 123

***

17.
Material: KRb2HSe
Method: DFT, PBE-GGA
State: relaxed

Lattice parameters (Å, degrees): 5.4489 5.4489 5.2582 90.00 90.00 90.00
Fractional positions:
H (0.0000, 0.0000, 0.0000)
K (0.0000, 0.0000, 0.5000)
Se (0.5000, 0.5000, 0.5000)
Rb (0.0000, 0.5000, 0.0000)
Rb (0.5000, 0.0000, 0.0000)

raw total energy	-2.6321	eV per atom
Fermi-level density of states	0.000	states/eV per atom
symmetry	No. 123

***

18.
Material: KRbSiH6
Method: DFT, PBE-GGA
State: relaxed

Lattice parameters (Å, degrees): 5.7864 5.7864 5.0414 90.00 90.00 60.00
Fractional positions:
K (0.6666, 0.6667, 0.4999)
Rb (0.0000, 0.0000, 0.0000)
Si (0.3333, 0.3333, 0.5000)
H (0.1071, 0.3334, 0.3128)
H (0.3335, 0.1071, 0.6872)
H (0.5594, 0.3335, 0.6872)
H (0.1071, 0.5594, 0.6872)
H (0.3334, 0.5594, 0.3128)
H (0.5594, 0.1071, 0.3128)

raw total energy	-3.1842	eV per atom
Fermi-level density of states	0.000	states/eV per atom
symmetry	No. 149

***

19.
Material: KRb2SiH6
Method: DFT, PBE-GGA
State: relaxed

Lattice parameters (Å, degrees): 5.7311 8.5735 8.1169 90.00 90.00 90.00
Fractional positions:
K (0.0000, 0.5769, 0.5000)
K (0.5000, 0.4231, 0.0000)
Rb (0.5000, 0.8517, 0.2378)
Rb (0.0000, 0.1483, 0.7378)
Rb (0.5000, 0.8517, 0.7622)
Rb (0.0000, 0.1483, 0.2622)
Si (0.5000, 0.1785, 0.5000)
Si (0.0000, 0.8215, 0.0000)
H (0.5000, 0.1761, 0.2985)
H (0.5000, 0.1761, 0.7015)
H (0.0000, 0.8239, 0.2015)
H (0.0000, 0.8239, 0.7985)
H (0.3027, 0.0385, 0.5000)
H (0.6973, 0.0385, 0.5000)
H (0.2961, 0.3077, 0.5000)
H (0.7039, 0.3077, 0.5000)
H (0.7961, 0.6923, 0.0000)
H (0.2039, 0.6923, 0.0000)
H (0.1973, 0.9615, 0.0000)
H (0.8027, 0.9615, 0.0000)

raw total energy	-2.9749	eV per atom
Fermi-level density of states	0.157	states/eV per atom
symmetry	No. 59

***

20.
Material: K2RbTeH
Method: DFT, PBE-GGA
State: relaxed

Lattice parameters (Å, degrees): 5.4283 5.4283 5.5497 90.00 90.00 90.00
Fractional positions:
H (0.0000, 0.0000, 0.0000)
K (0.0000, 0.5000, 0.0000)
K (0.5000, 0.0000, 0.0000)
Te (0.5000, 0.5000, 0.5000)
Rb (0.0000, 0.0000, 0.5000)

raw total energy	-2.6162	eV per atom
Fermi-level density of states	0.000	states/eV per atom
symmetry	No. 123

***

21.
Material: KRb2TeH
Method: DFT, PBE-GGA
State: relaxed

Lattice parameters (Å, degrees): 5.6148 5.6148 5.4618 90.00 90.00 90.00
Fractional positions:
H (0.0000, 0.0000, 0.0000)
K (0.0000, 0.0000, 0.5000)
Te (0.5000, 0.5000, 0.5000)
Rb (0.0000, 0.5000, 0.0000)
Rb (0.5000, 0.0000, 0.0000)

raw total energy	-2.5769	eV per atom
Fermi-level density of states	0.000	states/eV per atom
symmetry	No. 123